Entry from Alexandria: crystalline AcTm2Ir at its relaxed geometry (GGA-PBE).

abc: 4.037 4.037 9.496
angles: 77.73 77.73 60.00
Fractional positions:
Tm 0.282 0.282 0.154
Ir 0.000 0.000 0.000
Tm 0.718 0.718 0.846
Ac 0.500 0.500 0.500

Computed properties:
* energy of formation: -412 meV per atom
* polymorph energy (0 for the lowest one): 0.025 eV per atom
* size of the total moment: 0.00 μB per atom

=====

Entry from Alexandria: crystalline AcTmIr at its relaxed geometry (GGA-PBE).

abc: 6.368 4.259 4.259
angles: 120.00 90.00 90.00
Fractional positions:
Ir 0.646 0.333 0.667
Tm 0.449 0.667 0.333
Ac 0.905 0.000 0.000

Computed properties:
* energy of formation: -549 meV per atom
* polymorph energy (0 for the lowest one): 0.067 eV per atom
* size of the total moment: 0.00 μB per atom

=====

Entry from Alexandria: crystalline AcTm2Ir2 at its relaxed geometry (GGA-PBE).

abc: 4.542 4.542 6.918
angles: 109.17 109.17 90.00
Fractional positions:
Ir 0.609 0.609 0.218
Ac 0.000 0.000 0.000
Ir 0.391 0.391 0.782
Tm 0.250 0.750 0.500
Tm 0.750 0.250 0.500

Computed properties:
* energy of formation: -752 meV per atom
* size of the total moment: 0.00 μB per atom

=====

Entry from Alexandria: crystalline AcTm2Ir at its relaxed geometry (GGA-PBE).

abc: 3.527 3.527 9.035
angles: 90.00 90.00 90.00
Fractional positions:
Ac 0.500 0.500 0.500
Ir 0.500 0.500 0.000
Tm 0.000 0.000 0.174
Tm 0.000 0.000 0.826

Computed properties:
* energy of formation: -431 meV per atom
* polymorph energy (0 for the lowest one): 0.006 eV per atom
* size of the total moment: 0.00 μB per atom

=====

Entry from Alexandria: crystalline AcTmIr at its relaxed geometry (GGA-PBE).

abc: 6.134 8.255 8.860
angles: 123.73 90.00 90.00
Fractional positions:
Ac 0.390 0.234 0.884
Ac 0.890 0.266 0.616
Ir 0.054 0.984 0.234
Tm 0.864 0.217 0.134
Ac 0.110 0.734 0.384
Ir 0.946 0.016 0.766
Ir 0.554 0.516 0.266
Tm 0.364 0.283 0.366
Ir 0.446 0.484 0.734
Ac 0.610 0.766 0.116
Tm 0.636 0.717 0.634
Tm 0.136 0.783 0.866

Computed properties:
* energy of formation: -616 meV per atom
* polymorph energy (0 for the lowest one): 0.000 eV per atom
* size of the total moment: 0.00 μB per atom

=====

Entry from Alexandria: crystalline AcTmIr at its relaxed geometry (GGA-PBE).

abc: 5.005 5.005 5.005
angles: 60.00 60.00 60.00
Fractional positions:
Ir 0.250 0.250 0.250
Tm 0.500 0.500 0.500
Ac 0.000 0.000 0.000

Computed properties:
* energy of formation: -522 meV per atom
* polymorph energy (0 for the lowest one): 0.094 eV per atom
* size of the total moment: 0.00 μB per atom

=====

Please write out number 6 again, unchanged.
Entry from Alexandria: crystalline AcTmIr at its relaxed geometry (GGA-PBE).

abc: 5.005 5.005 5.005
angles: 60.00 60.00 60.00
Fractional positions:
Ir 0.250 0.250 0.250
Tm 0.500 0.500 0.500
Ac 0.000 0.000 0.000

Computed properties:
* energy of formation: -522 meV per atom
* polymorph energy (0 for the lowest one): 0.094 eV per atom
* size of the total moment: 0.00 μB per atom

=====

Question: Number 4 is which compound?
Answer: AcTm2Ir

=====

Question: Which formula does entry 2 have?
Answer: AcTmIr

=====

Repeat the fourth record exactly.
Entry from Alexandria: crystalline AcTm2Ir at its relaxed geometry (GGA-PBE).

abc: 3.527 3.527 9.035
angles: 90.00 90.00 90.00
Fractional positions:
Ac 0.500 0.500 0.500
Ir 0.500 0.500 0.000
Tm 0.000 0.000 0.174
Tm 0.000 0.000 0.826

Computed properties:
* energy of formation: -431 meV per atom
* polymorph energy (0 for the lowest one): 0.006 eV per atom
* size of the total moment: 0.00 μB per atom